# 1
! La3Tb2PmPr6, relaxed, DFT PBE; values from VASP
! Crystal system: monoclinic
! Formation enthalpy at 0 K: 0.0162 eV/atom
! Space group: C2/m (12)
! Electronic total energy: -4.77 eV/atom
&SYSTEM
  ibrav = 0, nat = 12, ntyp = 4
/
ATOMIC_SPECIES
La 138.91 La.upf
Tb 158.93 Tb.upf
Pm 145.00 Pm.upf
Pr 140.91 Pr.upf
CELL_PARAMETERS angstrom
3.2006 -5.5478 0.0000
3.2006 5.5478 0.0000
-2.1516 0.0000 12.0450
ATOMIC_POSITIONS crystal
La 0.0000 0.0000 0.0000
La 0.3330 0.6670 0.0000
La 0.6670 0.3330 0.0000
Tb 0.1666 0.8334 0.5000
Tb 0.8334 0.1666 0.5000
Pm 0.5000 0.5000 0.5000
Pr 0.0841 0.4182 0.2547
Pr 0.2480 0.2480 0.7455
Pr 0.4182 0.0841 0.2547
Pr 0.5818 0.9159 0.7453
Pr 0.7520 0.7520 0.2545
Pr 0.9159 0.5818 0.7453

***

# 2
! Sc2TaRh, relaxed, DFT PBE; values from VASP
! Crystal system: cubic
! Formation enthalpy at 0 K: -0.0732 eV/atom
! Space group: Fm-3m (225)
! Electronic total energy: -8.04 eV/atom
&SYSTEM
  ibrav = 0, nat = 4, ntyp = 3
/
ATOMIC_SPECIES
Sc 44.96 Sc.upf
Ta 180.95 Ta.upf
Rh 102.91 Rh.upf
CELL_PARAMETERS angstrom
0.0000 3.3520 3.3520
3.3520 0.0000 3.3520
3.3520 3.3520 0.0000
ATOMIC_POSITIONS crystal
Sc 0.2500 0.2500 0.2500
Sc 0.7500 0.7500 0.7500
Ta 0.0000 0.0000 0.0000
Rh 0.5000 0.5000 0.5000

***

# 3
! BaTaRe2I, relaxed, DFT PBE; values from VASP
! Crystal system: tetragonal
! ΔE_f (raw): 1.248 eV/atom
! Space group: P4/mmm (123)
! Electronic total energy: -6.80 eV/atom
&SYSTEM
  ibrav = 0, nat = 5, ntyp = 4
/
ATOMIC_SPECIES
Ba 137.33 Ba.upf
Ta 180.95 Ta.upf
Re 186.21 Re.upf
I 126.90 I.upf
CELL_PARAMETERS angstrom
4.9221 0.0000 0.0000
0.0000 4.9221 0.0000
0.0000 0.0000 5.9438
ATOMIC_POSITIONS crystal
Ba 0.0000 0.0000 0.0000
Ta 0.5000 0.5000 0.5000
Re 0.0000 0.5000 0.5000
Re 0.5000 0.0000 0.5000
I 0.5000 0.5000 0.0000

***

What are the total magnetization values for these records? In order: 0.00, 3.18, 2.53 μB per formula unit.